Compound: CrRe2W
Source: Alexandria via LeMat-Bulk
Functional: GGA-PBE
Structure: optimized geometry

Cell: 9.0856 9.0856 9.0856 Å, 17.49 17.49 17.49°
Closest atoms and distances in Å follow each position.
Fractional positions:
Cr 0.0000 0.0000 0.0000  3 Re 2.64, 3 W 2.74, 6 Cr 2.76
Re 0.4955 0.4955 0.4955  9 Re 2.76, 3 W 2.85
Re 0.7449 0.7449 0.7449  3 Cr 2.64, 9 Re 2.76
W 0.2504 0.2504 0.2504  3 Cr 2.74, 6 W 2.76, 3 Re 2.85

## Properties
E_form = 0.283 eV/atom
Size of the total moment = 0.000 μB/atom
SG = R3m (160)

Compound: CrReW
Source: Alexandria via LeMat-Bulk
Functional: GGA-PBE
Structure: optimized geometry

Cell: 5.0681 5.0681 5.0681 Å, 144.77 144.77 50.68°
Closest atoms and distances in Å follow each position.
Fractional positions:
Cr 0.0000 0.0000 0.0000  4 W 2.62, 4 Re 2.65
Re 0.3335 0.3335 0.0000  4 Cr 2.65, 4 W 2.69
W 0.6597 0.6597 0.0000  4 Cr 2.62, 4 Re 2.69

## Properties
E_form = 0.058 eV/atom
Size of the total moment = 0.000 μB/atom
SG = I4mm (107)
Relative energy among the computed polymorphs = 0.0 meV/atom

Compound: CrRe2W
Source: Alexandria via LeMat-Bulk
Functional: GGA-PBE
Structure: optimized geometry

Cell: 5.1087 5.1087 2.6843 Å, 100.30 100.30 117.00°
Closest atoms and distances in Å follow each position.
Fractional positions:
Cr 0.0000 0.0000 0.0000  4 Re 2.66, 2 W 2.67, 2 Cr 2.68
Re 0.0000 0.5000 0.5000  2 Cr 2.66, 2 W 2.66, 4 Re 2.67-2.68
Re 0.5000 0.0000 0.5000  2 Cr 2.66, 2 W 2.66, 4 Re 2.67-2.68
W 0.5000 0.5000 0.0000  4 Re 2.66, 2 Cr 2.67, 2 W 2.68

## Properties
E_form = 0.134 eV/atom
Size of the total moment = 0.000 μB/atom
SG = C2/m (12)

Compound: CrReW
Source: Alexandria via LeMat-Bulk
Functional: GGA-PBE
Structure: optimized geometry

Cell: 5.0733 5.0733 4.3410 Å, 90.00 90.00 129.67°
Closest atoms and distances in Å follow each position.
Fractional positions:
Cr 0.2495 0.7505 0.7500  4 Re 2.62-2.64, 4 W 2.62-2.63
Cr 0.7505 0.2495 0.2500  4 Re 2.62-2.64, 4 W 2.62-2.63
Re 0.4122 0.5878 0.2500  4 Cr 2.62-2.64, 2 W 2.70, 2 Re 2.70
Re 0.5878 0.4122 0.7500  4 Cr 2.62-2.64, 2 W 2.70, 2 Re 2.70
W 0.0884 0.9116 0.2500  4 Cr 2.62-2.63, 2 Re 2.70, 2 W 2.71
W 0.9116 0.0884 0.7500  4 Cr 2.62-2.63, 2 Re 2.70, 2 W 2.71

## Properties
E_form = 0.075 eV/atom
Size of the total moment = 0.000 μB/atom
SG = Cmcm (63)
Relative energy among the computed polymorphs = 16.8 meV/atom

Compound: CrRe2W
Source: Alexandria via LeMat-Bulk
Functional: GGA-PBE
Structure: optimized geometry

Cell: 3.0490 3.0490 6.2416 Å, 90.00 90.00 90.00°
Closest atoms and distances in Å follow each position.
Fractional positions:
Cr 0.0000 0.0000 0.0000  4 W 2.58, 4 Re 2.63
Re 0.0000 0.0000 0.5085  4 W 2.72, 4 Re 2.72
Re 0.5000 0.5000 0.2425  4 Cr 2.63, 4 Re 2.72, 1 W 2.92
W 0.5000 0.5000 0.7742  4 Cr 2.58, 4 Re 2.72

## Properties
E_form = 0.092 eV/atom
Size of the total moment = 0.000 μB/atom
SG = P4mm (99)

Compound: CrRe2W
Source: Alexandria via LeMat-Bulk
Functional: GGA-PBE
Structure: optimized geometry

Cell: 2.6862 2.6862 8.6087 Å, 90.00 90.00 109.51°
Closest atoms and distances in Å follow each position.
Fractional positions:
Cr 0.0000 0.0000 0.0000  4 Re 2.56, 4 Cr 2.69
Re 0.5000 0.5000 0.2366  2 Cr 2.56, 4 Re 2.69, 2 W 2.75
Re 0.5000 0.5000 0.7634  2 Cr 2.56, 4 Re 2.69, 2 W 2.75
W 0.0000 0.0000 0.5000  4 W 2.69, 4 Re 2.75

## Properties
E_form = 0.131 eV/atom
Size of the total moment = 0.119 μB/atom
SG = Cmmm (65)